NaCrCu | PBE | relaxed

abc: 4.485 4.485 4.485
angles: 60.00 60.00 60.00
Atoms (fractional coordinates):
Na (0.000, 0.000, 0.000)
Cr (0.500, 0.500, 0.500)
Cu (0.250, 0.250, 0.250)

For the energy relative to the lowest polymorph listed for this composition, the calculation gives 291.0 meV per atom. The space group is F-43m (216). The energy of formation from the pure elements comes out at 869 meV per atom.

---

Fe3RhI | PBE | relaxed

abc: 4.725 4.725 4.725
angles: 90.00 90.00 90.00
Atoms (fractional coordinates):
Fe (0.000, 0.000, 0.500)
Fe (0.000, 0.500, 0.000)
Fe (0.500, 0.000, 0.000)
Rh (0.000, 0.000, 0.000)
I (0.500, 0.500, 0.500)

For the formation energy without anion corrections, the calculation gives 1.08 eV/atom. For the energy relative to the lowest polymorph listed for this composition, the calculation gives 0.0 meV per atom. The space group is Pm-3m (221).

---

Rb6CdHg3 | PBE | relaxed

abc: 10.602 7.982 15.114
angles: 90.00 123.70 90.00
Atoms (fractional coordinates):
Rb (0.088, 0.141, 0.276)
Rb (0.088, 0.359, 0.776)
Rb (0.253, 0.074, 0.611)
Rb (0.253, 0.426, 0.111)
Rb (0.375, 0.589, 0.560)
Rb (0.375, 0.911, 0.060)
Rb (0.625, 0.089, 0.940)
Rb (0.625, 0.411, 0.440)
Rb (0.747, 0.574, 0.889)
Rb (0.747, 0.926, 0.389)
Rb (0.912, 0.641, 0.224)
Rb (0.912, 0.859, 0.724)
Cd (0.500, 0.000, 0.500)
Cd (0.500, 0.500, 0.000)
Hg (0.000, 0.000, 0.000)
Hg (0.000, 0.500, 0.500)
Hg (0.337, 0.723, 0.806)
Hg (0.337, 0.777, 0.306)
Hg (0.663, 0.223, 0.694)
Hg (0.663, 0.277, 0.194)

The space group is P2_1/c (14). The energy of formation from the pure elements comes out at -102 meV per atom.

---

Number 1: density of states at the Fermi level 0.516 states/eV per atom, electronic total energy -4.14 eV per atom. Number 2: density of states at the Fermi level 1.381 states/eV per atom, electronic total energy -5.78 eV per atom. Number 3: density of states at the Fermi level 0.662 states/eV per atom, electronic total energy -0.86 eV per atom.